1.
The following is a DFT calculation (PBE) of Sc7In after structural relaxation.

Calculated values
magnetization: 0.0003 μB per atom
formation enthalpy at 0 K: -0.0926 eV per atom

Lattice parameters (Å, degrees): 6.4721 6.4721 6.4721 60.00 60.00 60.00
Element x y z (fractional)
1 Sc 0.0000 0.0000 0.0000
2 Sc 0.0000 0.0000 0.5000
3 Sc 0.0000 0.5000 0.0000
4 Sc 0.0000 0.5000 0.5000
5 Sc 0.5000 0.0000 0.0000
6 Sc 0.5000 0.0000 0.5000
7 Sc 0.5000 0.5000 0.0000
8 In 0.5000 0.5000 0.5000



2.
The following is a DFT calculation (PBE) of TaTe2Os after structural relaxation.

Calculated values
energy relative to the lowest polymorph listed for this composition: 3.28 eV/f.u.
magnetization: 0.0000 μB per atom
uncorrected formation energy: 3.4 eV/f.u.

Lattice parameters (Å, degrees): 9.4925 9.4925 9.4925 20.02 20.02 20.02
Element x y z (fractional)
1 Ta 0.0000 0.0000 0.0000
2 Te 0.0981 0.0981 0.0981
3 Te 0.9019 0.9019 0.9019
4 Os 0.5000 0.5000 0.5000



3.
The following is a DFT calculation (PBE) of PuPaO4 after structural relaxation.

Calculated values
magnetization: 0.8334 μB per atom
uncorrected formation energy: -20.9 eV/f.u.

Lattice parameters (Å, degrees): 6.6633 6.6633 6.6633 131.64 131.64 70.80
Element x y z (fractional)
1 Pu 0.3750 0.6250 0.7500
2 Pu 0.6250 0.3750 0.2500
3 Pa 0.1250 0.8750 0.2500
4 Pa 0.8750 0.1250 0.7500
5 O 0.0000 0.2382 0.2382
6 O 0.0000 0.7618 0.7618
7 O 0.2382 0.0000 0.7382
8 O 0.2382 0.5000 0.2382
9 O 0.5000 0.2382 0.7382
10 O 0.5000 0.7618 0.2618
11 O 0.7618 0.0000 0.2618
12 O 0.7618 0.5000 0.7618



4.
The following is a DFT calculation (PBE) of HoMg3Al8 after structural relaxation.

Calculated values
magnetization: 0.0000 μB per atom
formation enthalpy at 0 K: -0.1517 eV per atom

Lattice parameters (Å, degrees): 5.4981 5.4981 8.7469 90.00 90.00 120.00
Element x y z (fractional)
1 Ho 0.0000 0.0000 0.0000
2 Mg 0.0000 0.0000 0.3747
3 Mg 0.6667 0.3333 0.4988
4 Mg 0.6667 0.3333 0.8659
5 Al 0.1624 0.3249 0.6844
6 Al 0.1624 0.8376 0.6844
7 Al 0.3333 0.6667 0.4398
8 Al 0.3333 0.6667 0.9352
9 Al 0.5039 0.0079 0.1843
10 Al 0.5039 0.4961 0.1843
11 Al 0.6751 0.8376 0.6844
12 Al 0.9921 0.4961 0.1843